DFT (PBE) results for a relaxed Pa2Tl3PdS6 crystal.

Results
SG	No. 12
uncorrected formation energy	-1123	kJ/mol of formula units

Cell: 7.0307 7.0307 7.8405 Å, 97.18 97.18 123.60°
Last column: magnetic moment on the atom in μB.
Atoms (fractional coordinates):
Tl  0.1494  0.8506  0.5000  0.01
S  0.7368  0.7368  0.1700  -0.01
Tl  0.5000  0.5000  0.5000  0.01
S  0.4471  0.0621  0.2151  -0.02
Pd  0.0000  0.0000  0.0000  -0.04
S  0.2632  0.2632  0.8300  -0.01
S  0.0621  0.4471  0.2151  -0.02
Tl  0.8506  0.1494  0.5000  0.01
Pa  0.3364  0.6636  0.0000  0.49
S  0.5529  0.9379  0.7849  -0.02
Pa  0.6636  0.3364  0.0000  0.49
S  0.9379  0.5529  0.7849  -0.02

DFT (PBE) results for a relaxed PaTlPdS3 crystal.

Results
SG	No. 63
uncorrected formation energy	-653	kJ/mol of formula units

Cell: 4.0246 7.2596 10.3022 Å, 90.00 90.00 106.09°
Atoms (fractional coordinates):
Pd  0.5542  0.1083  0.2500
Tl  0.7513  0.5025  0.7500
Pa  0.0000  0.0000  0.5000
S  0.3742  0.7485  0.9644
S  0.9465  0.8930  0.2500
Tl  0.2487  0.4975  0.2500
Pd  0.4458  0.8917  0.7500
S  0.6258  0.2515  0.4644
S  0.0535  0.1070  0.7500
S  0.3742  0.7485  0.5356
S  0.6258  0.2515  0.0356
Pa  0.0000  0.0000  0.0000

DFT (PBE) results for a relaxed PaTl2Pd2S4 crystal.

Results
SG	No. 12
uncorrected formation energy	-718	kJ/mol of formula units

Cell: 4.0584 7.4886 7.7885 Å, 109.10 90.00 105.72°
Atoms (fractional coordinates):
S  0.4803  0.9606  0.2149
Pd  0.6911  0.3823  0.0312
S  0.5197  0.0394  0.7851
Pa  0.0000  0.0000  0.0000
Pd  0.3089  0.6177  0.9688
S  0.8077  0.6153  0.8072
Tl  0.8620  0.7239  0.4124
Tl  0.1380  0.2761  0.5876
S  0.1923  0.3847  0.1928

> Which of these has the highest uncorrected formation energy?

PaTlPdS3